# 1
CaNd2Ho3Bi6: optimized geometry, PBE-GGA.

```
12
Lattice="-3.867 0.804 2.223 -4.711 -1.636 -7.605 2.557 -9.305 3.193" Properties=species:S:1:pos:R:3 pbc="T T T"
Ca -1.934 0.402 1.111
Nd -4.671 -6.650 -1.101
Nd -1.351 -3.488 -1.088
Ho -4.289 -0.416 -2.691
Ho -2.302 -5.810 2.717
Ho -3.719 -4.328 -4.906
Bi -3.935 -7.408 -4.167
Bi -4.498 -3.497 -1.939
Bi -2.087 -2.730 1.978
Bi -2.522 -8.871 3.443
Bi -3.500 -1.266 -5.632
Bi -1.524 -6.640 -0.250
```

Computed properties:
Energy relative to the elements ... -843 meV per atom
Space group ... C2/m

=====

# 2
CaNdHo2Bi4: optimized geometry, PBE-GGA.

```
8
Lattice="-0.254 1.274 4.320 0.624 -7.551 2.264 7.587 -1.780 0.971" Properties=species:S:1:pos:R:3 pbc="T T T"
Ca 0.185 -3.138 3.292
Nd 4.105 -4.665 1.618
Ho 7.587 -1.780 0.971
Ho 3.666 -0.253 2.646
Bi 6.136 -7.073 2.448
Bi 1.820 -0.984 5.108
Bi 2.215 -5.540 4.120
Bi 5.741 -2.517 3.436
```

Computed properties:
Energy relative to the elements ... -815 meV per atom
Space group ... P2/m

=====

# 3
CaHoBiO2: optimized geometry, PBE-GGA.

```
5
Lattice="-1.101 -0.017 3.748 0.317 -3.893 0.076 7.604 2.583 0.210" Properties=species:S:1:pos:R:3 pbc="T T T"
Ca 4.209 -1.554 3.265
Ho 2.658 0.231 0.782
Bi -0.323 -1.949 1.932
O 2.997 0.300 2.917
O 3.706 -1.637 1.081
```

Computed properties:
Space group ... I4mm
Formation energy without anion corrections ... -2.356 eV/atom

=====

# 4
CaHo2BiO6: optimized geometry, PBE-GGA.

```
10
Lattice="-5.527 -1.917 -0.218 -2.325 -1.654 -5.112 -0.995 -5.957 -0.973" Properties=species:S:1:pos:R:3 pbc="T T T"
Ca -6.895 -6.384 -4.856
Ho -4.534 -4.439 -3.206
Ho -1.103 -5.641 -1.026
Bi -2.510 -1.506 -1.723
O -4.222 -3.020 -1.498
O -3.570 -3.377 -4.930
O -6.724 -4.233 -3.644
O -4.591 -6.424 -4.445
O -4.997 -6.083 -1.606
O -2.449 -5.416 -2.791
```

Computed properties:
Space group ... R3
Formation energy without anion corrections ... -2.680 eV/atom